Nd4MgPt: relaxed, GGA-PBE.

Output
crystal system	tetragonal
calculated formation energy	-37.7	meV/atom
relative energy among the computed polymorphs	40.95	kJ/mol of atoms
calculated volume	222.04	Å³/f.u.
space-group type	No. 109

a b c (Å): 8.3307 8.3307 8.3307
angles (deg): 111.05 111.05 106.36
Positions (direct):
1 Nd 0.1812 0.0000 0.1812
2 Nd 0.2018 0.5077 0.3059
3 Nd 0.2018 0.8959 0.6941
4 Nd 0.2577 0.4518 0.8059
5 Nd 0.6459 0.4518 0.1941
6 Nd 0.7500 0.0688 0.3188
7 Nd 0.7500 0.4312 0.6812
8 Nd 0.8188 0.0000 0.8188
9 Mg 0.4718 0.9718 0.5000
10 Mg 0.7218 0.7218 0.0000
11 Pt 0.2275 0.2275 0.0000
12 Pt 0.9775 0.4775 0.5000

---

Hf2Zr4Sc: relaxed, GGA-PBE.

Output
crystal system	monoclinic
calculated formation energy	7.6	meV/atom
relative energy among the computed polymorphs	0.00	kJ/mol of atoms
calculated volume	162.39	Å³/f.u.
space-group type	No. 12

a b c (Å): 3.2182 3.2182 18.1896
angles (deg): 94.97 94.97 60.04
Positions (direct):
1 Hf 0.0963 0.0963 0.2868
2 Hf 0.9037 0.9037 0.7132
3 Zr 0.1926 0.1926 0.5735
4 Zr 0.2861 0.2861 0.8533
5 Zr 0.7139 0.7139 0.1467
6 Zr 0.8074 0.8074 0.4265
7 Sc 0.0000 0.0000 0.0000

---

AlFePt2: relaxed, GGA-PBE.

Output
crystal system	trigonal
calculated formation energy	-418.4	meV/atom
calculated volume	58.44	Å³/f.u.
space-group type	No. 166

a b c (Å): 8.5869 8.5869 8.5869
angles (deg): 18.96 18.96 18.96
Positions (direct):
1 Al 0.0000 0.0000 0.0000
2 Fe 0.5000 0.5000 0.5000
3 Pt 0.2523 0.2523 0.2523
4 Pt 0.7477 0.7477 0.7477

---

Be2Ni: relaxed, GGA-PBE.

Output
crystal system	orthorhombic
calculated formation energy	-115.7	meV/atom
calculated volume	27.31	Å³/f.u.
space-group type	No. 63

a b c (Å): 6.0573 6.0573 3.8116
angles (deg): 90.00 90.00 157.01
Positions (direct):
1 Be 0.0568 0.9432 0.7500
2 Be 0.3870 0.6130 0.7500
3 Be 0.6130 0.3870 0.2500
4 Be 0.9432 0.0568 0.2500
5 Ni 0.2862 0.7138 0.2500
6 Ni 0.7138 0.2862 0.7500

---

Pu2CoMo: relaxed, GGA-PBE.

Output
crystal system	cubic
calculated formation energy	266.9	meV/atom
calculated volume	75.62	Å³/f.u.
space-group type	No. 225

a b c (Å): 4.7465 4.7465 4.7465
angles (deg): 60.00 60.00 60.00
Positions (direct):
1 Pu 0.2500 0.2500 0.2500
2 Pu 0.7500 0.7500 0.7500
3 Co 0.0000 0.0000 0.0000
4 Mo 0.5000 0.5000 0.5000